The following is a PBE calculation of a relaxed structure of NpTaOs, from OQMD via LeMat-Bulk.

Unit cell a=4.425 b=4.425 c=4.425 alpha=60.00 beta=60.00 gamma=60.00
Fractional coordinates of all 3 atoms:
Ta1 0.750 0.750 0.750
Np1 0.000 0.000 0.000
Os1 0.250 0.250 0.250

E_form = 958 meV per atom
DFT total energy = -10.991 eV/atom
space-group type = No. 216
spin magnetization = 2.4 μB/f.u.
energy above the most stable polymorph in this dataset = 528 meV per atom


The following is a PBE calculation of a relaxed structure of NpTaOs, from OQMD via LeMat-Bulk.

Unit cell a=4.482 b=4.482 c=4.482 alpha=60.00 beta=60.00 gamma=60.00
Fractional coordinates of all 3 atoms:
Ta1 0.750 0.750 0.750
Np1 0.250 0.250 0.250
Os1 0.000 0.000 0.000

E_form = 430 meV per atom
DFT total energy = -11.519 eV/atom
space-group type = No. 216
spin magnetization = 4.1 μB/f.u.
energy above the most stable polymorph in this dataset = 0 meV per atom


The following is a PBE calculation of a relaxed structure of NpTlOs, from OQMD via LeMat-Bulk.

Unit cell a=4.702 b=4.702 c=4.702 alpha=60.00 beta=60.00 gamma=60.00
Fractional coordinates of all 3 atoms:
Np1 0.000 0.000 0.000
Os1 0.250 0.250 0.250
Tl1 0.750 0.750 0.750

DFT total energy = -7.633 eV/atom
space-group type = No. 216
spin magnetization = 3.1 μB/f.u.
energy above the most stable polymorph in this dataset = 642 meV per atom


The following is a PBE calculation of a relaxed structure of NpTlOs, from OQMD via LeMat-Bulk.

Unit cell a=4.644 b=4.644 c=4.644 alpha=60.00 beta=60.00 gamma=60.00
Fractional coordinates of all 3 atoms:
Tl1 0.750 0.750 0.750
Os1 0.000 0.000 0.000
Np1 0.250 0.250 0.250

DFT total energy = -8.274 eV/atom
space-group type = No. 216
spin magnetization = 3.4 μB/f.u.
energy above the most stable polymorph in this dataset = 0 meV per atom